! PBE with a Hubbard U MnNF2, optimized geometry; values from VASP
! E, eV per atom: -5.233
! Symmetry: No. 122
! Crystal system: tetragonal
&SYSTEM
  ibrav = 0, nat = 8, ntyp = 3
/
ATOMIC_SPECIES
N 14.01 N.upf
Mn 54.94 Mn.upf
F 19.00 F.upf
ATOMIC_POSITIONS crystal
N 0.500 0.500 0.000
N 0.250 0.750 0.500
Mn 0.000 0.000 0.000
Mn 0.750 0.250 0.500
F 0.768 0.125 0.250
F 0.982 0.625 0.250
F 0.375 0.232 0.750
F 0.875 0.018 0.750
CELL_PARAMETERS angstrom
5.569 0.000 0.000
0.000 5.569 0.000
2.784 2.784 5.306